## TbHg2Br8 (PBE)

Data for a relaxed TbHg2Br8 crystal.

Unit cell a=8.463 b=8.463 c=6.803 alpha=100.59 beta=100.59 gamma=66.06
Element x y z (fractional)
Tb: 0.000 0.000 0.000
Hg: 0.197 0.197 0.693
Hg: 0.803 0.803 0.307
Br: 0.133 0.707 0.218
Br: 0.179 0.179 0.282
Br: 0.293 0.867 0.782
Br: 0.379 0.379 0.826
Br: 0.621 0.621 0.174
Br: 0.707 0.133 0.218
Br: 0.821 0.821 0.718
Br: 0.867 0.293 0.782

Output
As for the density: 4584 kg/m3. Its total energy is -27.5 eV for the cell shown.